# BaHfMg2Nb

A crystal of BaHfMg2Nb relaxed with PBEsol (meta-GGA SCAN, Alexandria via LeMat-Bulk).

abc: 5.2427 5.2427 5.1260
angles: 90.00 90.00 90.00
Sites, in units of the cell vectors:
1 Ba 0.0000 0.0000 0.0000
2 Hf 0.5000 0.5000 0.5000
3 Mg 0.0000 0.5000 0.0000
4 Mg 0.5000 0.0000 0.0000
5 Nb 0.0000 0.0000 0.5000

Calculated values
E_tot	-27.0405	eV/atom
Fermi-level density of states	3.77	states/eV/cell
symmetry	P4/mmm, No. 123
size of the total moment	0.00	μB/f.u.


# KAlAg

A crystal of KAlAg relaxed with PBEsol (meta-GGA SCAN, Alexandria via LeMat-Bulk).

abc: 6.9787 6.9787 6.9787
angles: 90.00 90.00 90.00
Sites, in units of the cell vectors:
1 K 0.0000 0.0000 0.0000
2 K 0.0000 0.5000 0.5000
3 K 0.5000 0.0000 0.5000
4 K 0.5000 0.5000 0.0000
5 Al 0.2500 0.2500 0.2500
6 Al 0.2500 0.7500 0.7500
7 Al 0.7500 0.2500 0.7500
8 Al 0.7500 0.7500 0.2500
9 Ag 0.0000 0.0000 0.5000
10 Ag 0.0000 0.5000 0.0000
11 Ag 0.5000 0.0000 0.0000
12 Ag 0.5000 0.5000 0.5000

Calculated values
E_tot	-15.2363	eV/atom
Fermi-level density of states	6.56	states/eV/cell
symmetry	F-43m, No. 216
size of the total moment	0.00	μB/f.u.
E above lowest polymorph	534.2	meV per atom


# ScTlCu2

A crystal of ScTlCu2 relaxed with PBEsol (meta-GGA SCAN, Alexandria via LeMat-Bulk).

abc: 6.4031 6.4031 6.4031
angles: 90.00 90.00 90.00
Sites, in units of the cell vectors:
1 Sc 0.0000 0.0000 0.0000
2 Sc 0.0000 0.5000 0.5000
3 Sc 0.5000 0.0000 0.5000
4 Sc 0.5000 0.5000 0.0000
5 Tl 0.2500 0.2500 0.2500
6 Tl 0.2500 0.7500 0.7500
7 Tl 0.7500 0.2500 0.7500
8 Tl 0.7500 0.7500 0.2500
9 Cu 0.0000 0.0000 0.5000
10 Cu 0.0000 0.5000 0.0000
11 Cu 0.2500 0.2500 0.7500
12 Cu 0.2500 0.7500 0.2500
13 Cu 0.5000 0.0000 0.0000
14 Cu 0.5000 0.5000 0.5000
15 Cu 0.7500 0.2500 0.2500
16 Cu 0.7500 0.7500 0.7500

Calculated values
E_tot	-29.3360	eV/atom
Fermi-level density of states	6.70	states/eV/cell
symmetry	F-43m, No. 216
size of the total moment	0.00	μB/f.u.


# Zn2FeCo

A crystal of Zn2FeCo relaxed with PBEsol (meta-GGA SCAN, Alexandria via LeMat-Bulk).

abc: 2.5493 2.5493 7.2531
angles: 90.00 90.00 90.00
Sites, in units of the cell vectors:
1 Zn 0.0000 0.0000 0.2431
2 Zn 0.0000 0.0000 0.7569
3 Fe 0.5000 0.5000 0.5000
4 Co 0.5000 0.5000 0.0000

Calculated values
E_tot	-15.6632	eV/atom
Fermi-level density of states	1.42	states/eV/cell
symmetry	P4/mmm, No. 123
size of the total moment	3.92	μB/f.u.
E above lowest polymorph	0.0	meV per atom


# Li4Cl

A crystal of Li4Cl relaxed with PBEsol (meta-GGA SCAN, Alexandria via LeMat-Bulk).

abc: 3.4393 3.4393 16.6285
angles: 90.00 90.00 90.00
Sites, in units of the cell vectors:
1 Li 0.0000 0.0000 0.0888
2 Li 0.0000 0.0000 0.9112
3 Li 0.0000 0.5000 0.2500
4 Li 0.0000 0.5000 0.7500
5 Li 0.5000 0.0000 0.2500
6 Li 0.5000 0.0000 0.7500
7 Li 0.5000 0.5000 0.4112
8 Li 0.5000 0.5000 0.5888
9 Cl 0.0000 0.0000 0.5000
10 Cl 0.5000 0.5000 0.0000

Calculated values
E_tot	-4.0107	eV/atom
Fermi-level density of states	3.28	states/eV/cell
symmetry	I4/mmm, No. 139
size of the total moment	0.15	μB/f.u.
E above lowest polymorph	0.0	meV per atom


# Sn2PdBr

A crystal of Sn2PdBr relaxed with PBEsol (meta-GGA SCAN, Alexandria via LeMat-Bulk).

abc: 7.0500 7.0500 7.0500
angles: 90.00 90.00 90.00
Sites, in units of the cell vectors:
1 Sn 0.2500 0.2500 0.2500
2 Sn 0.2500 0.2500 0.7500
3 Sn 0.2500 0.7500 0.2500
4 Sn 0.2500 0.7500 0.7500
5 Sn 0.7500 0.2500 0.2500
6 Sn 0.7500 0.2500 0.7500
7 Sn 0.7500 0.7500 0.2500
8 Sn 0.7500 0.7500 0.7500
9 Pd 0.0000 0.0000 0.0000
10 Pd 0.0000 0.5000 0.5000
11 Pd 0.5000 0.0000 0.5000
12 Pd 0.5000 0.5000 0.0000
13 Br 0.0000 0.0000 0.5000
14 Br 0.0000 0.5000 0.0000
15 Br 0.5000 0.0000 0.0000
16 Br 0.5000 0.5000 0.5000

Calculated values
E_tot	-30.8496	eV/atom
Fermi-level density of states	9.73	states/eV/cell
symmetry	Fm-3m, No. 225
size of the total moment	0.00	μB/f.u.


# TbSnRu2

A crystal of TbSnRu2 relaxed with PBEsol (meta-GGA SCAN, Alexandria via LeMat-Bulk).

abc: 6.5154 6.5154 6.5154
angles: 90.00 90.00 90.00
Sites, in units of the cell vectors:
1 Tb 0.0000 0.0000 0.0000
2 Tb 0.0000 0.5000 0.5000
3 Tb 0.5000 0.0000 0.5000
4 Tb 0.5000 0.5000 0.0000
5 Sn 0.0000 0.0000 0.5000
6 Sn 0.0000 0.5000 0.0000
7 Sn 0.5000 0.0000 0.0000
8 Sn 0.5000 0.5000 0.5000
9 Ru 0.2500 0.2500 0.2500
10 Ru 0.2500 0.2500 0.7500
11 Ru 0.2500 0.7500 0.2500
12 Ru 0.2500 0.7500 0.7500
13 Ru 0.7500 0.2500 0.2500
14 Ru 0.7500 0.2500 0.7500
15 Ru 0.7500 0.7500 0.2500
16 Ru 0.7500 0.7500 0.7500

Calculated values
E_tot	-38.4601	eV/atom
Fermi-level density of states	17.91	states/eV/cell
symmetry	Fm-3m, No. 225
size of the total moment	0.00	μB/f.u.


# Al2BiB

A crystal of Al2BiB relaxed with PBEsol (meta-GGA SCAN, Alexandria via LeMat-Bulk).

abc: 5.8046 5.8046 10.1309
angles: 90.00 90.00 90.00
Sites, in units of the cell vectors:
1 Al 0.1275 0.7500 0.1250
2 Al 0.2500 0.1275 0.8750
3 Al 0.2500 0.3725 0.3750
4 Al 0.3725 0.7500 0.6250
5 Al 0.6275 0.2500 0.6250
6 Al 0.7500 0.6275 0.3750
7 Al 0.7500 0.8725 0.8750
8 Al 0.8725 0.2500 0.1250
9 Bi 0.0000 0.0000 0.5000
10 Bi 0.0000 0.5000 0.7500
11 Bi 0.5000 0.0000 0.2500
12 Bi 0.5000 0.5000 0.0000
13 B 0.0000 0.0000 0.0000
14 B 0.0000 0.5000 0.2500
15 B 0.5000 0.0000 0.7500
16 B 0.5000 0.5000 0.5000

Calculated values
E_tot	-24.9601	eV/atom
Fermi-level density of states	9.46	states/eV/cell
symmetry	I-42d, No. 122
size of the total moment	0.00	μB/f.u.


# BaCd4Pb

A crystal of BaCd4Pb relaxed with PBEsol (meta-GGA SCAN, Alexandria via LeMat-Bulk).

abc: 6.0813 6.0813 6.0813
angles: 60.00 60.00 60.00
Sites, in units of the cell vectors:
1 Ba 0.0000 0.0000 0.0000
2 Cd 0.3753 0.3753 0.3753
3 Cd 0.3753 0.3753 0.8740
4 Cd 0.3753 0.8740 0.3753
5 Cd 0.8740 0.3753 0.3753
6 Pb 0.7500 0.7500 0.7500

Calculated values
E_tot	-39.6972	eV/atom
Fermi-level density of states	3.16	states/eV/cell
symmetry	F-43m, No. 216
size of the total moment	0.00	μB/f.u.


# Be3Ru

A crystal of Be3Ru relaxed with PBEsol (meta-GGA SCAN, Alexandria via LeMat-Bulk).

abc: 4.9269 6.0256 5.0122
angles: 90.00 90.00 90.00
Sites, in units of the cell vectors:
1 Be 0.0000 0.2500 0.0017
2 Be 0.0000 0.7500 0.9983
3 Be 0.2500 0.0199 0.2500
4 Be 0.2500 0.4801 0.2500
5 Be 0.2500 0.5199 0.7500
6 Be 0.2500 0.9801 0.7500
7 Be 0.5000 0.2500 0.4983
8 Be 0.5000 0.7500 0.5017
9 Be 0.7500 0.0199 0.2500
10 Be 0.7500 0.4801 0.2500
11 Be 0.7500 0.5199 0.7500
12 Be 0.7500 0.9801 0.7500
13 Ru 0.0000 0.2500 0.5293
14 Ru 0.0000 0.7500 0.4707
15 Ru 0.5000 0.2500 0.9707
16 Ru 0.5000 0.7500 0.0293

Calculated values
E_tot	-12.3651	eV/atom
Fermi-level density of states	4.66	states/eV/cell
symmetry	Imma, No. 74
size of the total moment	0.00	μB/f.u.


# Nd4Mg3Co2

A crystal of Nd4Mg3Co2 relaxed with PBEsol (meta-GGA SCAN, Alexandria via LeMat-Bulk).

abc: 7.5467 3.7675 8.2174
angles: 90.00 109.91 90.00
Sites, in units of the cell vectors:
1 Nd 0.0966 0.0000 0.2230
2 Nd 0.3977 0.0000 0.6787
3 Nd 0.6023 0.0000 0.3213
4 Nd 0.9034 0.0000 0.7770
5 Mg 0.0000 0.5000 0.5000
6 Mg 0.2953 0.5000 0.0020
7 Mg 0.7047 0.5000 0.9980
8 Co 0.3488 0.5000 0.3926
9 Co 0.6512 0.5000 0.6074

Calculated values
E_tot	-24.9499	eV/atom
Fermi-level density of states	6.06	states/eV/cell
symmetry	P2/m, No. 10
size of the total moment	0.87	μB/f.u.


# AlNiHg2

A crystal of AlNiHg2 relaxed with PBEsol (meta-GGA SCAN, Alexandria via LeMat-Bulk).

abc: 3.0819 3.0819 25.4286
angles: 90.00 90.00 120.00
Sites, in units of the cell vectors:
1 Al 0.0000 0.0000 0.0000
2 Al 0.3333 0.6667 0.6667
3 Al 0.6667 0.3333 0.3333
4 Ni 0.0000 0.0000 0.5000
5 Ni 0.3333 0.6667 0.1667
6 Ni 0.6667 0.3333 0.8333
7 Hg 0.0000 0.0000 0.2438
8 Hg 0.0000 0.0000 0.7562
9 Hg 0.3333 0.6667 0.4229
10 Hg 0.3333 0.6667 0.9104
11 Hg 0.6667 0.3333 0.0896
12 Hg 0.6667 0.3333 0.5771

Calculated values
E_tot	-39.8291	eV/atom
Fermi-level density of states	6.77	states/eV/cell
symmetry	R-3m, No. 166
size of the total moment	0.00	μB/f.u.


# NaLaTc2

A crystal of NaLaTc2 relaxed with PBEsol (meta-GGA SCAN, Alexandria via LeMat-Bulk).

abc: 6.6004 6.6004 6.6004
angles: 90.00 90.00 90.00
Sites, in units of the cell vectors:
1 Na 0.0000 0.0000 0.0000
2 Na 0.0000 0.5000 0.5000
3 Na 0.5000 0.0000 0.5000
4 Na 0.5000 0.5000 0.0000
5 La 0.0000 0.0000 0.5000
6 La 0.0000 0.5000 0.0000
7 La 0.5000 0.0000 0.0000
8 La 0.5000 0.5000 0.5000
9 Tc 0.2500 0.2500 0.2500
10 Tc 0.2500 0.2500 0.7500
11 Tc 0.2500 0.7500 0.2500
12 Tc 0.2500 0.7500 0.7500
13 Tc 0.7500 0.2500 0.2500
14 Tc 0.7500 0.2500 0.7500
15 Tc 0.7500 0.7500 0.2500
16 Tc 0.7500 0.7500 0.7500

Calculated values
E_tot	-28.2520	eV/atom
Fermi-level density of states	18.24	states/eV/cell
symmetry	Fm-3m, No. 225
size of the total moment	2.49	μB/f.u.


# LiInAu2O

A crystal of LiInAu2O relaxed with PBEsol (meta-GGA SCAN, Alexandria via LeMat-Bulk).

abc: 5.0458 5.0458 5.6911
angles: 90.00 90.00 90.00
Sites, in units of the cell vectors:
1 Li 0.0000 0.0000 0.0000
2 In 0.0000 0.0000 0.5000
3 Au 0.0000 0.5000 0.5000
4 Au 0.5000 0.0000 0.5000
5 O 0.5000 0.5000 0.0000

Calculated values
E_tot	-35.3522	eV/atom
Fermi-level density of states	4.06	states/eV/cell
symmetry	P4/mmm, No. 123
size of the total moment	1.31	μB/f.u.